The following is a PBE with a Hubbard U calculation of Na2Co2O3 after structural relaxation, from the Alexandria database.

Cell and atoms, written as POSCAR:
```
Na2Co2O3
1.0
6.3009 -5.5383 0.0000
6.3009 5.5383 0.0000
-2.4371 0.0000 5.1440
Na Co O
8 8 12
direct
0.0733 0.9267 0.7500 Na
0.2122 0.7877 0.2500 Na
0.3195 0.5030 0.3990 Na
0.4970 0.6805 0.1010 Na
0.5030 0.3195 0.8990 Na
0.6805 0.4970 0.6010 Na
0.7877 0.2122 0.7500 Na
0.9267 0.0733 0.2500 Na
0.0535 0.5868 0.7495 Co
0.1423 0.2812 0.8044 Co
0.2812 0.1423 0.3044 Co
0.4132 0.9465 0.7505 Co
0.5868 0.0535 0.2495 Co
0.7188 0.8577 0.6956 Co
0.8577 0.7188 0.1956 Co
0.9465 0.4132 0.2505 Co
0.0677 0.2168 0.0648 O
0.0678 0.6425 0.4410 O
0.2168 0.0677 0.5648 O
0.2643 0.4946 0.9507 O
0.3575 0.9322 0.0590 O
0.4946 0.2643 0.4507 O
0.5054 0.7357 0.5493 O
0.6425 0.0678 0.9410 O
0.7357 0.5054 0.0493 O
0.7832 0.9323 0.4352 O
0.9322 0.3575 0.5590 O
0.9323 0.7832 0.9352 O
```

Properties
E above lowest polymorph: 2.4 meV per atom
calculated density: 3.92 g/cm3
VASP energy: -5.124 eV/atom
crystal system: monoclinic